First-principles (GGA-PBE) data for an optimized crystal structure of Sm2Y3Te8, as listed in the Alexandria database.

a = 15.443 Å, b = 8.762 Å, c = 7.555 Å
α = 90.00°, β = 108.60°, γ = 90.00°
Space group C2/m (No. 12)
Inequivalent atoms, fractional coordinates:
Sm 0.249 0.000 0.169 [4 per cell]
Y 0.000 0.243 0.500 [4 per cell]
Y 0.000 0.500 0.000 [2 per cell]
Te 0.118 0.000 0.406 [4 per cell]
Te 0.119 0.500 0.414 [4 per cell]
Te 0.120 0.252 0.912 [8 per cell]

Summary:
* energy: -0.1999 Ha/atom
* formation energy (no corrections): -1.287 eV/atom



First-principles (GGA-PBE) data for an optimized crystal structure of DyPaP2, as listed in the Alexandria database.

a = 4.1324 Å, b = 4.1324 Å, c = 24.1513 Å
α = 90.00°, β = 90.00°, γ = 120.00°
Space group R-3m (No. 166, hexagonal axes)
Inequivalent atoms, fractional coordinates:
Dy 0.0000 0.0000 0.0000 [3 per cell]
Pa 0.0000 0.0000 0.5000 [3 per cell]
P 0.0000 0.0000 0.1111 [6 per cell]

Summary:
* energy: -0.2511 Ha/atom